[1]
The following is a GGA-PBE calculation of a geometry-optimized SrPuHgRh structure, from the Alexandria database.

Calculated values
Uncorrected energy ... -97.06 eV for the cell shown

a b c (Å): 7.3933 7.3933 7.3933
angles (deg): 90.00 90.00 90.00
Closest atoms and distances in Å follow each position.
Space group F-43m (No. 216)
One atom of each set of equivalent atoms:
Sr1 0.0000 0.0000 0.0000  4 Rh 3.20, 4 Hg 3.20
Pu1 0.0000 0.0000 0.5000  4 Hg 3.20, 4 Rh 3.20
Hg1 0.2500 0.2500 0.7500  4 Sr 3.20, 4 Pu 3.20
Rh1 0.2500 0.2500 0.2500  4 Sr 3.20, 4 Pu 3.20

=====

[2]
The following is a GGA-PBE calculation of a geometry-optimized UPdS3 structure, from the Alexandria database.

Calculated values
Formation energy from raw total energies ... -750 meV per atom
Energy relative to the lowest polymorph listed for this composition ... 165 meV per atom

a b c (Å): 6.9250 4.2129 9.3860
angles (deg): 90.00 108.53 90.00
Closest atoms and distances in Å follow each position.
Space group P2_1/m (No. 11)
One atom of each set of equivalent atoms:
U1 0.2262 0.2500 0.4379  6 S 2.65-2.79
Pd1 0.3790 0.2500 0.8460  4 S 2.33-2.42
S1 0.0492 0.2500 0.6534  1 Pd 2.42, 1 U 2.68
S2 0.3345 0.7500 0.9363  3 Pd 2.33-2.35
S3 0.4159 0.7500 0.3471  1 Pd 2.63, 3 U 2.65-2.76

=====

[3]
The following is a GGA-PBE calculation of a geometry-optimized SnS6Cl8 structure, from the Alexandria database.

Calculated values
Formation energy from raw total energies ... -216 meV per atom

a b c (Å): 8.2090 8.6562 9.1349
angles (deg): 91.37 112.24 105.93
Closest atoms and distances in Å follow each position.
Space group P-1 (No. 2)
One atom of each set of equivalent atoms:
Sn1 0.0000 0.0000 0.0000  6 Cl 2.41-2.54
S1 0.0286 0.4106 0.4412  1 Cl 2.01, 1 S 2.11
S2 0.3772 0.4366 0.9460  1 S 1.86
S3 0.3862 0.9436 0.4190  1 S 1.86
Cl1 0.0548 0.7419 0.0466  1 Sn 2.41
Cl2 0.1251 0.0871 0.2997  1 Sn 2.54, 1 S 2.66
Cl3 0.2365 0.6999 0.7081  1 S 2.01
Cl4 0.3177 0.1103 0.0067  1 Sn 2.50

=====

[4]
The following is a GGA-PBE calculation of a geometry-optimized Ba2NaScO structure, from the Alexandria database.

Calculated values
Formation energy from raw total energies ... 32 meV per atom

a b c (Å): 6.6366 6.6366 4.0330
angles (deg): 90.00 90.00 90.00
Closest atoms and distances in Å follow each position.
Space group P4/mmm (No. 123)
One atom of each set of equivalent atoms:
Ba1 0.0000 0.5000 0.0000  2 Na 3.32
Na1 0.0000 0.0000 0.0000  2 O 2.02
Sc1 0.5000 0.5000 0.5000  8 Ba 3.88, 2 Sc 4.03
O1 0.0000 0.0000 0.5000  2 Na 2.02

=====

[5]
The following is a GGA-PBE calculation of a geometry-optimized Sr2IrPb structure, from the Alexandria database.

Calculated values
Uncorrected energy ... -32.40 eV for the cell shown

a b c (Å): 4.5486 5.3212 9.2702
angles (deg): 90.00 90.00 90.00
Closest atoms and distances in Å follow each position.
Space group Immm (No. 71)
One atom of each set of equivalent atoms:
Sr1 0.0000 0.0000 0.2220  2 Ir 3.07, 2 Pb 3.36
Ir1 0.0000 0.5000 0.5000  4 Sr 3.07
Pb1 0.0000 0.5000 0.0000  8 Sr 3.36-3.44, 4 Ir 3.50

=====

[6]
The following is a GGA-PBE calculation of a geometry-optimized PrErMo2N6 structure, from the Alexandria database.

Calculated values
Formation energy from raw total energies ... -842 meV per atom

a b c (Å): 11.4079 9.7313 6.4719
angles (deg): 90.00 113.71 90.00
Closest atoms and distances in Å follow each position.
Space group C2/c (No. 15)
One atom of each set of equivalent atoms:
Pr1 0.0000 0.0948 0.2500  6 N 2.40-2.60
Er1 0.0000 0.2915 0.7500  6 N 2.33-2.46
Mo1 0.2097 0.4133 0.2060  4 N 1.78-1.97
N1 0.1139 0.1161 0.6676  1 Mo 1.86
N2 0.1268 0.2532 0.1436  1 Mo 1.78
N3 0.1505 0.4830 0.9078  2 Mo 1.90-1.97